Record 1
Here is a geometry-optimized Cd3TeO6 structure from Alexandria via LeMat-Bulk. Energies are from PBE.

Its total energy is -4.689 eV/atom.

Cell: 6.5743 6.5743 6.5743 Å, 90.29 90.29 90.29°
Last column: nearest neighbours and their distance in Å.
Atoms (fractional coordinates):
O 0.0629 0.2855 0.9333  1 Te 1.97
O 0.2855 0.9333 0.0629  1 Te 1.97
O 0.4561 0.5744 0.7867  1 Te 1.97
O 0.5744 0.7867 0.4561  1 Te 1.97
O 0.7145 0.0667 0.9371  1 Te 1.97
O 0.0667 0.9371 0.7145  1 Te 1.97
O 0.5439 0.4256 0.2133  1 Te 1.97
O 0.9333 0.0629 0.2855  1 Te 1.97
O 0.7867 0.4561 0.5744  1 Te 1.97
O 0.4256 0.2133 0.5439  1 Te 1.97
O 0.2133 0.5439 0.4256  1 Te 1.97
O 0.9371 0.7145 0.0667  1 Te 1.97
Te 0.5000 0.5000 0.5000  6 O 1.97
Te 0.0000 0.0000 0.0000  6 O 1.97
Cd 0.4493 0.9355 0.7523  6 O 2.28-2.53
Cd 0.5507 0.0645 0.2477  6 O 2.28-2.53
Cd 0.2477 0.5507 0.0645  6 O 2.28-2.53
Cd 0.0645 0.2477 0.5507  6 O 2.28-2.53
Cd 0.7523 0.4493 0.9355  6 O 2.28-2.53
Cd 0.9355 0.7523 0.4493  6 O 2.28-2.53

Record 2
Here is a geometry-optimized Cd3Te5O12 structure from Alexandria via LeMat-Bulk. Energies are from PBE.

The calculation puts the density of states at the Fermi level at 0.332 states/eV per atom. Its total energy is -4.573 eV/atom.

Cell: 12.0394 12.0394 12.0394 Å, 109.47 109.47 109.47°
Last column: nearest neighbours and their distance in Å.
Atoms (fractional coordinates):
O 0.6279 0.6483 0.4657  2 Te 2.14-2.19, 1 Cd 2.29
O 0.3721 0.0204 0.3378  2 Te 2.14-2.19, 1 Cd 2.29
O 0.3517 0.3721 0.0343  2 Te 2.14-2.19, 1 Cd 2.29
O 0.1483 0.4657 0.1279  2 Te 2.14-2.19, 1 Cd 2.29
O 0.0204 0.3721 0.8378  2 Te 2.14-2.19, 1 Cd 2.29
O 0.1279 0.9657 0.1483  2 Te 2.14-2.19, 1 Cd 2.29
O 0.1279 0.1622 0.4796  2 Te 2.14-2.19, 1 Cd 2.29
O 0.5343 0.6825 0.6622  2 Te 2.14-2.19, 1 Cd 2.29
O 0.1825 0.6622 0.0343  2 Te 2.14-2.19, 1 Cd 2.29
O 0.8175 0.4796 0.3517  2 Te 2.14-2.19, 1 Cd 2.29
O 0.1825 0.5204 0.6483  2 Te 2.14-2.19, 1 Cd 2.29
O 0.4657 0.1483 0.6279  2 Te 2.14-2.19, 1 Cd 2.29
O 0.0204 0.6483 0.6825  2 Te 2.14-2.19, 1 Cd 2.29
O 0.6622 0.1825 0.5343  2 Te 2.14-2.19, 1 Cd 2.29
O 0.0343 0.8721 0.3517  2 Te 2.14-2.19, 1 Cd 2.29
O 0.3378 0.5204 0.3721  2 Te 2.14-2.19, 1 Cd 2.29
O 0.6279 0.9796 0.6622  2 Te 2.14-2.19, 1 Cd 2.29
O 0.9657 0.8378 0.8175  2 Te 2.14-2.19, 1 Cd 2.29
O 0.3517 0.9796 0.8175  2 Te 2.14-2.19, 1 Cd 2.29
O 0.6483 0.0204 0.1825  2 Te 2.14-2.19, 1 Cd 2.29
O 0.3378 0.8175 0.4657  2 Te 2.14-2.19, 1 Cd 2.29
O 0.4796 0.6622 0.1279  2 Te 2.14-2.19, 1 Cd 2.29
O 0.1483 0.6825 0.5204  2 Te 2.14-2.19, 1 Cd 2.29
O 0.1622 0.0343 0.6825  2 Te 2.14-2.19, 1 Cd 2.29
O 0.3175 0.8517 0.9796  2 Te 2.14-2.19, 1 Cd 2.29
O 0.5343 0.8517 0.3721  2 Te 2.14-2.19, 1 Cd 2.29
O 0.0343 0.1622 0.1825  2 Te 2.14-2.19, 1 Cd 2.29
O 0.3175 0.4657 0.8378  2 Te 2.14-2.19, 1 Cd 2.29
O 0.4796 0.8175 0.8517  2 Te 2.14-2.19, 1 Cd 2.29
O 0.9796 0.6279 0.1622  2 Te 2.14-2.19, 1 Cd 2.29
O 0.6825 0.1483 0.0204  2 Te 2.14-2.19, 1 Cd 2.29
O 0.8517 0.5343 0.8721  2 Te 2.14-2.19, 1 Cd 2.29
O 0.5204 0.1825 0.1483  2 Te 2.14-2.19, 1 Cd 2.29
O 0.4657 0.3175 0.3378  2 Te 2.14-2.19, 1 Cd 2.29
O 0.9796 0.3517 0.3175  2 Te 2.14-2.19, 1 Cd 2.29
O 0.8517 0.3175 0.4796  2 Te 2.14-2.19, 1 Cd 2.29
O 0.8378 0.9657 0.3175  2 Te 2.14-2.19, 1 Cd 2.29
O 0.9657 0.1279 0.6483  2 Te 2.14-2.19, 1 Cd 2.29
O 0.8721 0.8378 0.5204  2 Te 2.14-2.19, 1 Cd 2.29
O 0.8378 0.8721 0.0204  2 Te 2.14-2.19, 1 Cd 2.29
O 0.5204 0.3378 0.8721  2 Te 2.14-2.19, 1 Cd 2.29
O 0.1622 0.1279 0.9796  2 Te 2.14-2.19, 1 Cd 2.29
O 0.8721 0.0343 0.8517  2 Te 2.14-2.19, 1 Cd 2.29
O 0.6483 0.6279 0.9657  2 Te 2.14-2.19, 1 Cd 2.29
O 0.3721 0.3517 0.5343  2 Te 2.14-2.19, 1 Cd 2.29
O 0.6622 0.4796 0.6279  2 Te 2.14-2.19, 1 Cd 2.29
O 0.6825 0.5343 0.1622  2 Te 2.14-2.19, 1 Cd 2.29
O 0.8175 0.3378 0.9657  2 Te 2.14-2.19, 1 Cd 2.29
Te 0.0000 0.0000 0.5000  6 O 2.19
Te 0.0000 0.0000 0.0000  6 O 2.19
Te 0.6250 0.7500 0.8750  4 O 2.14
Te 0.8750 0.2500 0.6250  4 O 2.14
Te 0.0000 0.5000 0.5000  6 O 2.19
Te 0.0000 0.5000 0.0000  6 O 2.19
Te 0.2500 0.3750 0.6250  4 O 2.14
Te 0.5000 0.5000 0.0000  6 O 2.19
Te 0.1250 0.3750 0.2500  4 O 2.14
Te 0.5000 0.0000 0.0000  6 O 2.19
Te 0.1250 0.7500 0.3750  4 O 2.14
Te 0.5000 0.5000 0.5000  6 O 2.19
Te 0.2500 0.8750 0.1250  4 O 2.14
Te 0.6250 0.8750 0.2500  4 O 2.14
Te 0.3750 0.1250 0.7500  4 O 2.14
Te 0.3750 0.2500 0.1250  4 O 2.14
Te 0.7500 0.1250 0.8750  4 O 2.14
Te 0.7500 0.6250 0.3750  4 O 2.14
Te 0.5000 0.0000 0.5000  6 O 2.19
Te 0.8750 0.6250 0.7500  4 O 2.14
Cd 0.3750 0.7500 0.6250  4 O 2.29
Cd 0.3750 0.6250 0.2500  4 O 2.29
Cd 0.2500 0.1250 0.3750  4 O 2.29
Cd 0.1250 0.2500 0.8750  4 O 2.29
Cd 0.8750 0.7500 0.1250  4 O 2.29
Cd 0.6250 0.3750 0.7500  4 O 2.29
Cd 0.1250 0.8750 0.7500  4 O 2.29
Cd 0.2500 0.6250 0.8750  4 O 2.29
Cd 0.7500 0.3750 0.1250  4 O 2.29
Cd 0.7500 0.8750 0.6250  4 O 2.29
Cd 0.6250 0.2500 0.3750  4 O 2.29
Cd 0.8750 0.1250 0.2500  4 O 2.29

Number 1: formation energy without anion corrections -1.13 eV per atom. Number 2: formation energy without anion corrections -0.68 eV per atom.